Entry 1:
10
Lattice="4.4951 0.0000 0.0000 0.0000 4.4951 0.0000 0.0000 0.0000 10.7479" Properties=species:S:1:pos:R:3 comment="Sr2Ga4PdAu3 (PBE, relaxed)" crystal_system=tetragonal magmom_total_mub_per_fu=0.00 dos_ef_per_ev_atom=0.55 delta_e_f_ev_per_fu=-6.31 total_energy_ev_per_atom=-3.680 pbc="T T T"
Sr 0.0000 2.2476 2.6709
Sr 2.2476 0.0000 8.0770
Ga 0.0000 0.0000 5.3739
Ga 0.0000 2.2476 9.4494
Ga 2.2476 0.0000 1.2985
Ga 2.2476 2.2476 5.3739
Pd 2.2476 2.2476 0.0000
Au 0.0000 0.0000 0.0000
Au 0.0000 2.2476 6.8395
Au 2.2476 0.0000 3.9084


Entry 2:
4
Lattice="1.3797 0.7966 9.0382 -1.3797 0.7966 9.0382 0.0000 -1.5931 9.0382" Properties=species:S:1:pos:R:3 comment="CdCoOs2 (PBE, relaxed)" crystal_system=trigonal magmom_total_mub_per_fu=1.60 dos_ef_per_ev_atom=0.69 delta_e_f_ev_per_fu=1.35 total_energy_ev_per_atom=-7.282 pbc="T T T"
Cd 0.0000 0.0000 0.0000
Co 0.0000 0.0000 20.4099
Os 0.0000 0.0000 6.4894
Os 0.0000 0.0000 13.4069


Question: Number 2 is which compound?
Answer: CdCoOs2